Record 1
First-principles (PBE-GGA) data for crystalline TbNd2Ho3 at its relaxed geometry, as listed in Alexandria.

Values from the calculation:
**Calculated total energy**: -4.55 eV per atom
**Energy above the lowest structure with this stoichiometry**: 0.049 kcal/mol of atoms
**Total magnetization**: 0.000 μB/atom

a = 17.0754 Å, b = 5.5853 Å, c = 10.0539 Å
α = 90.00°, β = 124.82°, γ = 90.00°
Last column: nearest neighbours and their distance in Å.
Space group C2/m (No. 12)
Inequivalent atoms, fractional coordinates:
Tb: 0.1332 0.0000 0.1376 x4  5 Ho 3.58-3.68, 7 Nd 3.66-3.85, 1 Tb 3.74
Nd: 0.0094 0.5000 0.8586 x4  1 Nd 3.04, 2 Ho 3.14-3.38
Nd: 0.2294 0.0000 0.8721 x4  3 Ho 3.40-3.70, 3 Nd 3.58-3.67, 2 Tb 3.68
Ho: 0.0486 0.0000 0.3942 x4  6 Ho 3.37-3.75, 2 Nd 3.52, 1 Tb 3.61
Ho: 0.1130 0.5000 0.6554 x4  4 Ho 3.30-3.55, 3 Nd 3.38-3.40, 1 Tb 3.58
Ho: 0.2083 0.5000 0.4252 x4  3 Ho 3.11-3.45, 1 Nd 3.14

Record 2
First-principles (PBE-GGA) data for crystalline ThSc2TlC at its relaxed geometry, as listed in Alexandria.

Values from the calculation:
**Calculated total energy**: -6.74 eV per atom
**Total magnetization**: 0.000 μB/atom

a = 4.6851 Å, b = 4.6851 Å, c = 5.0168 Å
α = 90.00°, β = 90.00°, γ = 90.00°
Last column: nearest neighbours and their distance in Å.
Space group P4/mmm (No. 123)
Inequivalent atoms, fractional coordinates:
Th: 0.0000 0.0000 0.0000 x1  2 C 2.51
Sc: 0.0000 0.5000 0.5000 x2  2 C 2.34
Tl: 0.5000 0.5000 0.0000 x1  4 Th 3.31, 8 Sc 3.43
C: 0.0000 0.0000 0.5000 x1  4 Sc 2.34, 2 Th 2.51

Record 3
First-principles (PBE-GGA) data for crystalline Mn4ZnCd at its relaxed geometry, as listed in Alexandria.

Values from the calculation:
**Calculated total energy**: -6.09 eV per atom
**Total magnetization**: 1.041 μB/atom

a = 6.8755 Å, b = 6.8755 Å, c = 6.8755 Å
α = 90.00°, β = 90.00°, γ = 90.00°
Last column: nearest neighbours and their distance in Å.
Space group F-43m (No. 216)
Inequivalent atoms, fractional coordinates:
Mn: 0.1242 0.1242 0.3758 x16  6 Mn 2.42-2.45
Zn: 0.2500 0.2500 0.7500 x4  12 Mn 2.85, 4 Cd 2.98
Cd: 0.0000 0.0000 0.0000 x4  12 Mn 2.85, 4 Zn 2.98

Record 4
First-principles (PBE-GGA) data for crystalline InRuNF2 at its relaxed geometry, as listed in Alexandria.

Values from the calculation:
**Calculated total energy**: -5.48 eV per atom
**Formation energy (no corrections)**: -0.6590 eV/atom
**Energy above the lowest structure with this stoichiometry**: 0.000 kcal/mol of atoms
**Total magnetization**: 0.039 μB/atom

a = 4.4266 Å, b = 4.4266 Å, c = 3.7401 Å
α = 90.00°, β = 90.00°, γ = 90.00°
Last column: nearest neighbours and their distance in Å.
Space group P4/mmm (No. 123)
Inequivalent atoms, fractional coordinates:
In: 0.0000 0.0000 0.0000 x1  8 F 2.90, 4 N 3.13
Ru: 0.5000 0.5000 0.5000 x1  2 N 1.87
N: 0.5000 0.5000 0.0000 x1  2 Ru 1.87
F: 0.0000 0.5000 0.5000 x2  2 Ru 2.21